This record from the Alexandria database describes MnTl2TcO6 after structural relaxation. The functional is PBE with a Hubbard U.

* VASP energy: -6.28 eV/atom
* N(E_F): 0.347 states/eV per atom
* symmetry: R-3m, No. 166

```
MnTl2TcO6
1.0
5.879 0.000 0.000
2.940 5.092 0.000
2.940 1.697 9.482
Mn Tl Tc O
2 4 2 12
direct
0.597 0.597 0.210
0.403 0.403 0.790
0.871 0.871 0.388
0.129 0.129 0.612
0.720 0.720 0.840
0.280 0.280 0.160
0.000 0.000 0.000
0.500 0.500 0.500
0.837 0.394 0.376
0.394 0.837 0.376
0.394 0.394 0.376
0.163 0.606 0.624
0.606 0.163 0.624
0.606 0.606 0.624
0.731 0.193 0.884
0.193 0.731 0.884
0.193 0.193 0.884
0.269 0.807 0.116
0.807 0.269 0.116
0.807 0.807 0.116
```